# 1
Material: LaFeOs
Method: DFT, PBE
State: optimized geometry

Output
Uncorrected energy in eV for the cell shown: -22.9
DFT formation energy in eV/atom: 0.570
Density of states at the Fermi level in states/eV/atom: 1.138

```
LaFeOs
1.0
4.546 0.000 0.000
2.273 3.937 0.000
2.273 1.312 3.712
Fe La Os
1 1 1
Direct
0.000 0.000 0.000
0.500 0.500 0.500
0.750 0.750 0.750
```

=====

# 2
Material: LaFeOs
Method: DFT, PBE
State: optimized geometry

Output
Uncorrected energy in eV for the cell shown: -49.4
DFT formation energy in eV/atom: -0.020
Density of states at the Fermi level in states/eV/atom: 0.945

```
LaFeOs
1.0
4.601 0.000 2.583
1.582 4.508 2.571
-0.020 0.128 5.424
La Fe Os
2 2 2
Direct
0.879 0.371 0.371
0.121 0.629 0.629
0.500 0.500 0.000
0.500 0.000 0.500
0.000 0.000 0.000
0.500 0.000 0.000
```

=====

# 3
Material: La2FeOs
Method: DFT, PBE
State: optimized geometry

Output
Uncorrected energy in eV for the cell shown: -28.0
DFT formation energy in eV/atom: 0.392
Density of states at the Fermi level in states/eV/atom: 1.147

```
La2FeOs
1.0
5.814 -0.051 0.000
2.811 5.090 0.000
-4.312 -2.519 2.977
Fe La Os
1 2 1
Direct
0.750 0.250 0.500
0.000 0.000 0.000
0.250 0.750 0.500
0.500 0.500 0.000
```

=====

# 4
Material: LaFeOs
Method: DFT, PBE
State: optimized geometry

Output
Uncorrected energy in eV for the cell shown: -20.5
DFT formation energy in eV/atom: 1.365
Density of states at the Fermi level in states/eV/atom: 1.307

```
LaFeOs
1.0
4.509 0.000 0.000
2.254 3.905 0.000
2.254 1.302 3.681
Fe La Os
1 1 1
Direct
0.500 0.500 0.500
0.750 0.750 0.750
0.000 0.000 0.000
```

=====

# 5
Material: La2FeOs
Method: DFT, PBE
State: optimized geometry

Output
Uncorrected energy in eV for the cell shown: -28.5
DFT formation energy in eV/atom: 0.256
Density of states at the Fermi level in states/eV/atom: 1.506

```
La2FeOs
1.0
8.006 -0.002 -0.004
-3.211 3.925 -0.017
1.583 1.303 2.902
Fe La Os
1 2 1
Direct
0.500 0.500 0.000
0.000 0.000 0.000
0.500 0.000 0.500
0.000 0.500 0.500
```

=====

# 6
Material: La3FeOs
Method: DFT, PBE
State: optimized geometry

Output
Uncorrected energy in eV for the cell shown: -32.1
DFT formation energy in eV/atom: 0.483
Density of states at the Fermi level in states/eV/atom: 1.222

```
La3FeOs
1.0
5.058 0.000 0.000
0.000 5.058 0.000
0.000 0.000 5.058
Os Fe La
1 1 3
Direct
0.500 0.500 0.500
0.000 0.000 0.000
0.000 0.500 0.000
0.000 0.000 0.500
0.500 0.000 0.000
```

=====

# 7
Material: LaFeOs4
Method: DFT, PBE
State: optimized geometry

Output
Uncorrected energy in eV for the cell shown: -55.6
DFT formation energy in eV/atom: 0.445
Density of states at the Fermi level in states/eV/atom: 1.448

```
LaFeOs4
1.0
2.046 -1.597 4.644
-1.956 1.908 4.565
-2.832 -3.162 3.208
La Fe Os
1 1 4
Direct
0.000 0.000 0.000
0.750 0.750 0.750
0.873 0.376 0.376
0.376 0.376 0.873
0.376 0.873 0.376
0.376 0.376 0.376
```

=====

# 8
Material: La2FeOs
Method: DFT, PBE
State: optimized geometry

Output
Uncorrected energy in eV for the cell shown: -27.2
DFT formation energy in eV/atom: 0.577
Density of states at the Fermi level in states/eV/atom: 1.632

```
La2FeOs
1.0
8.594 -0.122 -0.072
7.865 3.465 -0.072
7.865 1.598 3.075
Fe La Os
1 2 1
Direct
0.750 0.750 0.750
0.999 0.999 0.999
0.501 0.501 0.501
0.250 0.250 0.250
```

=====

# 9
Material: LaFe2Os2
Method: DFT, PBE
State: optimized geometry

Output
Uncorrected energy in eV for the cell shown: -43.7
DFT formation energy in eV/atom: 0.118
Density of states at the Fermi level in states/eV/atom: 1.040

```
LaFe2Os2
1.0
-2.833 0.353 -3.097
-3.099 -0.769 2.747
-3.368 4.754 0.759
Os Fe La
2 2 1
Direct
0.379 0.379 0.241
0.621 0.621 0.759
0.750 0.250 0.500
0.250 0.750 0.500
0.000 0.000 0.000
```

=====

# 10
Material: La2FeOs
Method: DFT, PBE
State: optimized geometry

Output
Uncorrected energy in eV for the cell shown: -28.5
DFT formation energy in eV/atom: 0.263
Density of states at the Fermi level in states/eV/atom: 1.784

```
La2FeOs
1.0
3.521 0.000 0.000
0.000 3.553 0.108
0.000 3.330 7.536
Fe La Os
1 2 1
Direct
0.500 0.750 0.750
0.000 0.990 0.010
0.000 0.510 0.490
0.500 0.250 0.250
```

=====

# 11
Material: La2FeOs
Method: DFT, PBE
State: optimized geometry

Output
Uncorrected energy in eV for the cell shown: -29.8
DFT formation energy in eV/atom: -0.052
Density of states at the Fermi level in states/eV/atom: 0.730

```
La2FeOs
1.0
-0.993 -4.032 -0.550
1.266 -2.018 -3.446
6.328 -4.024 2.127
La Fe Os
2 1 1
Direct
0.889 0.653 0.570
0.716 0.478 0.089
0.470 0.233 0.827
0.135 0.898 0.832
```

=====

# 12
Material: LaFe4Os
Method: DFT, PBE
State: optimized geometry

Output
Uncorrected energy in eV for the cell shown: -48.2
DFT formation energy in eV/atom: 0.293
Density of states at the Fermi level in states/eV/atom: 0.826

```
LaFe4Os
1.0
0.000 3.575 3.575
3.575 0.000 3.575
3.575 3.575 0.000
La Fe Os
1 4 1
Direct
0.250 0.250 0.250
0.626 0.626 0.122
0.626 0.122 0.626
0.626 0.626 0.626
0.122 0.626 0.626
0.000 0.000 0.000
```